Computed, not measured: an optimized crystal structure of Co2PtW at the PBEsol level of DFT.

a b c (Å): 3.769 3.769 3.517
angles (deg): 90.00 90.00 90.00
Atoms (fractional coordinates):
1 Co 0.000 0.500 0.000
2 Co 0.500 0.000 0.000
3 Pt 0.000 0.000 0.500
4 W 0.500 0.500 0.500

## Properties
* DFT total energy: -9.177 eV per atom
* energy above the most stable polymorph in this dataset: 27 meV/atom